1.
This record from Alexandria describes an optimized crystal structure of AlCd2Si2. The functional is PBE.

Results
Mass density, g/cm3: 5.1
Spin magnetization, μB/cell: 0.00

Unit cell a=3.4480 b=3.4480 c=8.8300 alpha=78.74 beta=78.74 gamma=90.00
With the nearest neighbours (Å) after each atom.
Element x y z (fractional)
Si (0.7500, 0.2500, 0.5000)  4 Si 2.44
Si (0.2500, 0.7500, 0.5000)  4 Si 2.44
Cd (0.3970, 0.3970, 0.2059)  4 Al 3.00, 4 Si 3.03
Cd (0.6030, 0.6030, 0.7941)  4 Al 3.00, 4 Si 3.03
Al (0.0000, 0.0000, 0.0000)  8 Cd 3.00

=====

2.
This record from Alexandria describes an optimized crystal structure of AlCd2Si. The functional is PBE.

Results
Mass density, g/cm3: 5.8
Spin magnetization, μB/cell: 0.00

Unit cell a=2.8630 b=3.6515 c=7.6702 alpha=90.00 beta=90.00 gamma=90.00
With the nearest neighbours (Å) after each atom.
Element x y z (fractional)
Cd (0.0000, 0.0000, 0.9805)  2 Cd 2.86, 4 Al 3.10
Si (0.0000, 0.0000, 0.5366)  4 Al 2.69, 2 Si 2.86
Cd (0.5000, 0.5000, 0.2700)  2 Cd 2.86, 4 Si 3.09
Al (0.5000, 0.5000, 0.7130)  4 Si 2.69, 2 Al 2.86

=====

3.
This record from Alexandria describes an optimized crystal structure of AlCd2Si. The functional is PBE.

Results
Mass density, g/cm3: 5.8
Spin magnetization, μB/cell: 0.00

Unit cell a=3.0195 b=3.0195 c=8.7742 alpha=90.00 beta=90.00 gamma=90.00
With the nearest neighbours (Å) after each atom.
Element x y z (fractional)
Si (0.5000, 0.5000, 0.2500)  4 Si 3.02, 8 Cd 3.05
Cd (0.0000, 0.0000, 0.0011)  4 Cd 3.02, 4 Si 3.05, 4 Al 3.07
Al (0.5000, 0.5000, 0.7500)  4 Al 3.02, 8 Cd 3.07
Cd (0.0000, 0.0000, 0.4989)  4 Cd 3.02, 4 Si 3.05, 4 Al 3.07

=====

4.
This record from Alexandria describes an optimized crystal structure of AlCd2Si2. The functional is PBE.

Results
Mass density, g/cm3: 5.2
Spin magnetization, μB/cell: 0.00

Unit cell a=6.6211 b=6.6211 c=4.5028 alpha=90.00 beta=90.00 gamma=90.00
With the nearest neighbours (Å) after each atom.
Element x y z (fractional)
Si (0.6271, 0.1271, 0.0000)  1 Si 2.38, 2 Al 2.61
Cd (0.3104, 0.1896, 0.5000)  6 Si 2.83-3.10
Si (0.1271, 0.3729, 0.0000)  1 Si 2.38, 2 Al 2.61
Si (0.8729, 0.6271, 0.0000)  1 Si 2.38, 2 Al 2.61
Cd (0.6896, 0.8104, 0.5000)  6 Si 2.83-3.10
Si (0.3729, 0.8729, 0.0000)  1 Si 2.38, 2 Al 2.61
Cd (0.8104, 0.3104, 0.5000)  6 Si 2.83-3.10
Al (0.5000, 0.5000, 0.0000)  4 Si 2.61
Cd (0.1896, 0.6896, 0.5000)  6 Si 2.83-3.10
Al (0.0000, 0.0000, 0.0000)  4 Si 2.61

=====

Number 1: E_tot -14.865 eV for the cell shown, DOS at the Fermi energy 0.37 states/eV/atom. Number 2: E_tot -10.153 eV for the cell shown, DOS at the Fermi energy 0.20 states/eV/atom. Number 3: E_tot -9.673 eV for the cell shown, DOS at the Fermi energy 0.63 states/eV/atom. Number 4: E_tot -29.984 eV for the cell shown, DOS at the Fermi energy 0.41 states/eV/atom.